[1]
# SmHoRu

A relaxed SmHoRu crystal (PBE, Alexandria).

a = 3.423 Å, b = 3.423 Å, c = 13.181 Å
α = 90.00°, β = 90.00°, γ = 90.00°
Space group I4mm (No. 107)
Unique sites:
Sm 0.000 0.000 0.000 x2
Ho 0.000 0.000 0.253 x2
Ru 0.000 0.000 0.631 x2

Calculated values
- Total energy: -6.479 eV per atom
- Offset from the most stable computed form: 9 meV/atom
- D(E_F): 0.519 states/eV/atom
- Energy of formation from the pure elements: -287.9 meV/atom

[2]
# MgAl2Tl

A relaxed MgAl2Tl crystal (PBE, Alexandria).

a = 5.075 Å, b = 5.075 Å, c = 3.412 Å
α = 90.00°, β = 90.00°, γ = 90.00°
Space group P4/mmm (No. 123)
Unique sites:
Mg 0.000 0.000 0.000 x1
Al 0.000 0.500 0.500 x2
Tl 0.500 0.500 0.000 x1

Calculated values
- Total energy: -2.637 eV per atom
- D(E_F): 0.380 states/eV/atom
- Energy of formation from the pure elements: 224.2 meV/atom

[3]
# PmDy8Cd6

A relaxed PmDy8Cd6 crystal (PBE, Alexandria).

a = 9.0055 Å, b = 9.0055 Å, c = 19.1007 Å
α = 90.00°, β = 90.00°, γ = 120.00°
Space group R-3 (No. 148, hexagonal axes)
Unique sites:
Pm 0.0000 0.0000 0.0000 x3
Dy 0.0000 0.0000 0.3327 x6
Dy 0.0013 0.3321 0.1164 x18
Cd 0.9999 0.3378 0.9479 x18

Calculated values
- Total energy: -3.204 eV per atom
- D(E_F): 1.216 states/eV/atom
- Energy of formation from the pure elements: -66.5 meV/atom